Record 1
A relaxed CaInP3 crystal. Source: the Alexandria database, functional GGA-PBE.

a b c (Å): 5.051 5.051 5.051
angles (deg): 90.00 90.00 90.00
Fractional coordinates of all 5 atoms:
P: 0.000 0.500 0.000
P: 0.500 0.000 0.000
P: 0.000 0.000 0.500
In: 0.000 0.000 0.000
Ca: 0.500 0.500 0.500

Calculated values
As for the formation energy from the elements: 466.5 meV/atom. Its energy above the lowest structure with this stoichiometry is 0.000 eV per atom.

Record 2
A relaxed BeZn2Si2Rh5 crystal. Source: the Alexandria database, functional GGA-PBE.

a b c (Å): 2.995 9.585 9.585
angles (deg): 90.00 90.00 90.00
Fractional coordinates of all 20 atoms:
Rh: 0.500 0.583 0.686
Rh: 0.500 0.186 0.083
Rh: 0.500 0.917 0.186
Rh: 0.500 0.083 0.814
Rh: 0.500 0.686 0.417
Rh: 0.500 0.314 0.583
Rh: 0.500 0.500 0.000
Rh: 0.500 0.417 0.314
Rh: 0.500 0.000 0.500
Rh: 0.500 0.814 0.917
Zn: 0.000 0.669 0.169
Zn: 0.000 0.831 0.669
Zn: 0.000 0.331 0.831
Zn: 0.000 0.169 0.331
Si: 0.000 0.637 0.863
Si: 0.000 0.863 0.363
Si: 0.000 0.363 0.137
Si: 0.000 0.137 0.637
Be: 0.000 0.000 0.000
Be: 0.000 0.500 0.500

Calculated values
For the uncorrected formation energy, the calculation gives -508.8 meV per atom.

Record 3
A relaxed K2TlSn4Au3 crystal. Source: the Alexandria database, functional GGA-PBE.

a b c (Å): 4.920 4.920 11.621
angles (deg): 90.00 90.00 90.00
Fractional coordinates of all 10 atoms:
K: 0.500 0.000 0.251
K: 0.000 0.500 0.749
Sn: 0.500 0.500 0.000
Sn: 0.500 0.000 0.641
Sn: 0.000 0.000 0.000
Sn: 0.000 0.500 0.359
Tl: 0.500 0.500 0.500
Au: 0.000 0.000 0.500
Au: 0.500 0.000 0.876
Au: 0.000 0.500 0.124

Calculated values
As for the formation energy from the elements: -239.8 meV/atom.

Record 4
A relaxed ZrAs2Rh crystal. Source: the Alexandria database, functional GGA-PBE.

a b c (Å): 5.411 5.411 5.411
angles (deg): 138.39 138.39 60.31
Fractional coordinates of all 4 atoms:
As: 0.250 0.750 0.500
As: 0.000 0.000 0.000
Rh: 0.500 0.500 0.000
Zr: 0.750 0.250 0.500

Calculated values
As for the formation energy from the elements: -526.8 meV/atom.

Record 5
A relaxed Ca7As crystal. Source: the Alexandria database, functional GGA-PBE.

a b c (Å): 7.416 7.416 7.416
angles (deg): 60.00 60.00 60.00
Fractional coordinates of all 8 atoms:
Ca: 0.000 0.000 0.500
Ca: 0.500 0.000 0.500
Ca: 0.000 0.500 0.000
Ca: 0.000 0.500 0.500
Ca: 0.500 0.000 0.000
Ca: 0.500 0.500 0.500
Ca: 0.500 0.500 0.000
As: 0.000 0.000 0.000

Calculated values
As for the formation energy from the elements: -106.8 meV/atom.

Record 6
A relaxed CaZrCuPt crystal. Source: the Alexandria database, functional GGA-PBE.

a b c (Å): 4.794 4.794 4.794
angles (deg): 60.00 60.00 60.00
Fractional coordinates of all 4 atoms:
Pt: 0.000 0.000 0.000
Cu: 0.500 0.500 0.500
Ca: 0.750 0.750 0.750
Zr: 0.250 0.250 0.250

Calculated values
As for the formation energy from the elements: -456.2 meV/atom.

Record 7
A relaxed MnCoIrS2 crystal. Source: the Alexandria database, functional GGA-PBE.

a b c (Å): 4.225 4.248 4.225
angles (deg): 90.00 90.00 90.00
Site moments in Bohr magnetons follow the coordinates.
Fractional coordinates of all 5 atoms:
S: 0.000 0.000 0.500  0.01
S: 0.500 0.000 0.000  -0.01
Ir: 0.500 0.500 0.500  0.18
Mn: 0.000 0.000 0.000  -0.08
Co: 0.000 0.500 0.000  1.00

Calculated values
For the uncorrected formation energy, the calculation gives 1028.1 meV per atom.

Record 8
A relaxed RbCdIn2Au crystal. Source: the Alexandria database, functional GGA-PBE.

a b c (Å): 5.527 5.527 5.467
angles (deg): 90.00 90.00 90.00
Fractional coordinates of all 5 atoms:
Rb: 0.500 0.500 0.500
Au: 0.000 0.000 0.000
In: 0.000 0.500 0.000
In: 0.500 0.000 0.000
Cd: 0.000 0.000 0.500

Calculated values
As for the formation energy from the elements: -41.8 meV/atom. Its energy above the lowest structure with this stoichiometry is 0.141 eV per atom.

Record 9
A relaxed CoHSBr crystal. Source: the Alexandria database, functional GGA-PBE.

a b c (Å): 5.757 3.591 6.461
angles (deg): 90.00 93.56 90.00
Fractional coordinates of all 8 atoms:
Co: 0.461 0.000 0.325
Co: 0.461 0.500 0.825
S: 0.423 0.000 0.656
S: 0.423 0.500 0.156
H: 0.154 0.000 0.312
H: 0.154 0.500 0.812
Br: 0.894 0.500 0.914
Br: 0.894 0.000 0.414

Calculated values
Its energy above the lowest structure with this stoichiometry is 0.218 eV per atom.

Record 10
A relaxed SbP3 crystal. Source: the Alexandria database, functional GGA-PBE.

a b c (Å): 4.597 4.597 4.597
angles (deg): 109.47 109.47 109.47
Fractional coordinates of all 4 atoms:
P: 0.000 0.500 0.500
P: 0.500 0.500 0.000
P: 0.000 0.000 0.000
Sb: 0.500 0.000 0.500

Calculated values
Its energy above the lowest structure with this stoichiometry is 0.098 eV per atom. For the uncorrected formation energy, the calculation gives 295.8 meV per atom.

Record 11
A relaxed PRhCl crystal. Source: the Alexandria database, functional GGA-PBE.

a b c (Å): 4.195 4.195 4.195
angles (deg): 60.00 60.00 60.00
Fractional coordinates of all 3 atoms:
Cl: 0.000 0.000 0.000
Rh: 0.750 0.750 0.750
P: 0.500 0.500 0.500

Calculated values
Its energy above the lowest structure with this stoichiometry is 0.453 eV per atom. For the uncorrected formation energy, the calculation gives 77.5 meV per atom.

Record 12
A relaxed TlFeAsIr2 crystal. Source: the Alexandria database, functional GGA-PBE.

a b c (Å): 4.518 4.864 4.518
angles (deg): 90.00 90.00 90.00
Fractional coordinates of all 5 atoms:
Ir: 0.500 0.000 0.000
Ir: 0.000 0.000 0.500
Tl: 0.000 0.500 0.000
As: 0.500 0.500 0.500
Fe: 0.000 0.000 0.000

Calculated values
As for the formation energy from the elements: 1229.7 meV/atom.

| no. | calculated density (g cm⁻³) |
| --- | --- |
| 1 | 3.2 |
| 2 | 8.6 |
| 3 | 8.0 |
| 4 | 8.3 |
| 5 | 2.0 |
| 6 | 8.3 |
| 7 | 8.1 |
| 8 | 6.2 |
| 9 | 4.3 |
| 10 | 4.8 |
| 11 | 5.4 |
| 12 | 12.0 |